# Ba3P4O13 | Alexandria | SCAN | single point on PBEsol structure
data_Ba3P4O13
_symmetry_space_group_name_H-M 'P 1'
_symmetry_Int_Tables_number 1
_cell_length_a 5.699
_cell_length_b 7.249
_cell_length_c 8.055
_cell_angle_alpha 83.05
_cell_angle_beta 75.92
_cell_angle_gamma 70.65
loop_
_symmetry_equiv_pos_as_xyz
'x,y,z'
loop_
_atom_site_label
_atom_site_type_symbol
_atom_site_fract_x
_atom_site_fract_y
_atom_site_fract_z
Ba1 Ba 0.000 0.000 0.000
Ba2 Ba 0.286 0.171 0.448
Ba3 Ba 0.649 0.590 0.222
P1 P 0.308 0.393 0.039
P2 P 0.633 0.795 0.761
P3 P 0.641 0.374 0.698
P4 P 0.970 0.777 0.420
O1 O 0.032 0.558 0.412
O2 O 0.099 0.298 0.109
O3 O 0.193 0.858 0.357
O4 O 0.220 0.614 0.047
O5 O 0.388 0.916 0.711
O6 O 0.401 0.342 0.835
O7 O 0.541 0.291 0.120
O8 O 0.573 0.396 0.527
O9 O 0.663 0.830 0.935
O10 O 0.670 0.567 0.758
O11 O 0.747 0.893 0.334
O12 O 0.873 0.825 0.625
O13 O 0.881 0.215 0.720
# Raw formation energy: -2.937 eV/atom
# Space-group type: P1, No. 1
# ρ: 4.060 g cm⁻³